A relaxed structure of Ca5Hg2Sb, computed with PBE.

```
16
Lattice="7.440 0.000 -3.512 -1.658 7.253 -3.512 -0.142 -0.179 9.335" Properties=species:S:1:pos:R:3 pbc="T T T"
Sb 1.374 1.724 2.911
Sb 4.266 5.351 -0.601
Ca 2.891 3.627 -3.512
Ca 4.375 7.066 -3.558
Ca 0.935 5.839 -1.208
Ca -0.822 3.635 4.707
Ca 0.000 0.000 0.000
Ca 4.705 1.235 3.519
Ca 2.618 4.862 2.357
Ca 6.462 3.439 -2.396
Ca 3.022 2.213 -0.046
Ca 1.265 0.009 5.869
Hg 4.482 0.956 -2.682
Hg 5.413 4.582 -5.268
Hg 0.370 2.671 -1.756
Hg 1.300 6.298 -4.343
```

Summary:
- Raw total energy: -19.4 eV/f.u.


A relaxed structure of CaHg3Sb, computed with PBE.

```
5
Lattice="-1.477 -2.905 4.559 1.107 -4.789 -2.693 5.292 0.191 1.836" Properties=species:S:1:pos:R:3 pbc="T T T"
Sb 0.000 0.000 0.000
Hg 2.646 0.095 0.918
Hg -0.738 -1.453 2.280
Hg 0.553 -2.394 -1.347
Ca 2.461 -3.752 1.851
```

Summary:
- Raw total energy: -6.3 eV/f.u.


A relaxed structure of Ca4HgSb, computed with PBE.

```
24
Lattice="4.656 0.000 0.000 0.000 8.422 0.000 0.000 0.000 19.441" Properties=species:S:1:pos:R:3 pbc="T T T"
Ca 1.164 0.117 1.341
Ca 1.164 5.428 18.254
Ca 3.492 8.111 4.302
Ca 1.164 1.217 10.907
Ca 1.164 4.328 8.379
Ca 1.164 0.311 15.139
Ca 3.492 2.994 1.187
Ca 1.164 4.521 14.023
Ca 3.492 4.094 11.062
Ca 3.492 3.900 5.418
Ca 1.164 5.283 2.958
Ca 3.492 7.349 12.678
Ca 3.492 7.205 8.534
Ca 3.492 8.305 18.100
Ca 3.492 3.138 16.483
Ca 1.164 1.072 6.763
Hg 1.164 2.061 18.249
Hg 1.164 6.272 10.913
Hg 3.492 6.360 1.192
Hg 3.492 2.150 8.528
Sb 3.492 6.238 15.710
Sb 1.164 2.184 3.732
Sb 3.492 2.027 13.452
Sb 1.164 6.395 5.989
```

Summary:
- Raw total energy: -16.2 eV/f.u.


A relaxed structure of Ca4HgSb, computed with PBE.

```
6
Lattice="0.000 4.700 4.700 4.700 0.000 4.700 4.700 4.700 0.000" Properties=species:S:1:pos:R:3 pbc="T T T"
Ca 5.884 5.884 3.515
Ca 3.515 5.884 5.884
Ca 5.884 3.515 5.884
Ca 3.515 3.515 3.515
Sb 0.000 0.000 0.000
Hg 7.049 7.049 7.049
```

Summary:
- Raw total energy: -12.0 eV/f.u.